Material: Ba4Na2Sr3
Method: DFT, PBE
State: relaxed

```
Ba4Na2Sr3
1.0
4.315 0.000 0.000
-2.158 3.737 0.000
0.000 0.000 31.709
Ba Na Sr
4 2 3
Direct
0.000 0.000 0.000
0.000 0.000 0.227
0.333 0.667 0.344
0.333 0.667 0.572
0.000 0.000 0.676
0.000 0.000 0.876
0.000 0.000 0.458
0.333 0.667 0.113
0.333 0.667 0.775
```

## Properties
- Calculated density: 2.787 Mg/m³
- Polymorph energy (0 for the lowest one): 0.158 eV per formula unit
- Energy relative to the elements: 61.6 meV per atom
- M_tot: 0.0000 μB per atom
- Energy: -1.6467 eV/atom

=====

Material: CdGa2Ag9
Method: DFT, PBE
State: relaxed

```
CdGa2Ag9
1.0
4.150 0.000 0.000
0.000 4.150 0.000
0.000 0.000 12.423
Cd Ga Ag
1 2 9
Direct
0.000 0.000 0.000
0.000 0.000 0.334
0.000 0.000 0.666
0.000 0.500 0.173
0.000 0.500 0.500
0.000 0.500 0.827
0.500 0.000 0.173
0.500 0.000 0.500
0.500 0.000 0.827
0.500 0.500 0.000
0.500 0.500 0.337
0.500 0.500 0.663
```

## Properties
- Calculated density: 9.490 Mg/m³
- Energy relative to the elements: -3.2 meV per atom
- M_tot: 0.0000 μB per atom
- Energy: -2.7224 eV/atom